DFT (PBE) results for a relaxed structure of Pm2TiGa3.

Calculated values
- Final energy: -28.5 eV per formula unit
- SG: Cmcm, No. 63
- Calculated formation energy: -0.33 eV/atom

abc: 4.8040 8.0410 8.0410
angles: 113.40 90.00 90.00
Positions (direct):
Pm  0.7500  0.5341  0.8225
Pm  0.2500  0.1775  0.4659
Pm  0.2500  0.4659  0.1775
Pm  0.7500  0.8225  0.5341
Ti  0.2500  0.9070  0.9070
Ti  0.7500  0.0930  0.0930
Ga  0.0000  0.1730  0.8270
Ga  0.5000  0.1730  0.8270
Ga  0.2500  0.5993  0.5993
Ga  0.7500  0.4007  0.4007
Ga  0.5000  0.8270  0.1730
Ga  0.0000  0.8270  0.1730